Ti2CoIr3 (PBE, optimized geometry); calculated volume = 183.1 Å³ per cell; SG = Ibam, No. 72; E_form = -0.38 eV/atom; total magnetic moment = 3.0 μB per cell
1.0
-3.046 -1.736 -3.906
2.158 -4.797 0.449
-4.210 1.583 6.107
Ir Ti Co
6 4 2
Direct
0.084 0.864 0.727
0.500 0.750 0.000
0.643 0.364 0.727
0.916 0.136 0.273
0.500 0.250 0.000
0.357 0.636 0.273
0.096 0.322 0.645
0.451 0.178 0.355
0.549 0.822 0.645
0.904 0.678 0.355
0.000 0.250 0.000
0.000 0.750 0.000

---

Ti7Co4Ir (PBE, optimized geometry); calculated volume = 177.5 Å³ per cell; SG = C2/m, No. 12; E_form = -0.12 eV/atom; total magnetic moment = 0.0 μB per cell
1.0
4.712 0.000 0.000
2.356 6.379 0.546
2.356 0.691 5.965
Ti Ir Co
7 1 4
Direct
0.945 0.378 0.732
0.279 0.677 0.764
0.231 0.090 0.447
0.769 0.910 0.553
0.055 0.622 0.268
0.500 0.000 0.000
0.721 0.323 0.236
0.000 0.000 0.000
0.706 0.642 0.945
0.461 0.710 0.368
0.539 0.290 0.632
0.294 0.358 0.055

---

Ti6Co2Ir (PBE, optimized geometry); calculated volume = 274.5 Å³ per cell; SG = Immm, No. 71; E_form = -0.41 eV/atom; energy relative to the lowest polymorph listed for this composition = 0 meV per atom; total magnetic moment = 0.0 μB per cell
1.0
6.660 0.166 -2.433
-3.425 5.831 -2.139
-0.077 -0.166 7.090
Ir Ti Co
2 12 4
Direct
0.000 0.000 0.000
0.000 0.500 0.500
0.283 0.958 0.675
0.717 0.042 0.325
0.717 0.393 0.675
0.472 0.287 0.185
0.200 0.242 0.442
0.102 0.287 0.815
0.200 0.758 0.958
0.800 0.758 0.558
0.898 0.713 0.185
0.800 0.242 0.042
0.528 0.713 0.815
0.283 0.607 0.325
0.648 0.000 0.648
0.352 0.000 0.352
0.500 0.356 0.856
0.500 0.644 0.144

---

TmTiCoIr (PBE, optimized geometry); calculated volume = 66.1 Å³ per cell; SG = F-43m, No. 216; E_form = -0.51 eV/atom; total magnetic moment = 1.0 μB per cell
1.0
-4.203 1.502 -0.822
-3.353 -0.932 2.913
-1.769 3.306 2.557
Co Ir Ti Tm
1 1 1 1
Direct
0.000 0.000 0.000
0.500 0.500 0.500
0.250 0.250 0.250
0.750 0.750 0.750

---

YTiCoIr (PBE, optimized geometry); calculated volume = 68.1 Å³ per cell; SG = F-43m, No. 216; E_form = -0.40 eV/atom; total magnetic moment = 1.0 μB per cell
1.0
4.583 0.000 0.000
2.292 3.969 0.000
2.292 1.323 3.742
Co Ir Ti Y
1 1 1 1
Direct
0.000 0.000 0.000
0.500 0.500 0.500
0.750 0.750 0.750
0.250 0.250 0.250

---

TiZn2CoIr (PBE, optimized geometry); calculated volume = 86.4 Å³ per cell; SG = P4/mmm, No. 123; E_form = 1.31 eV/atom; total magnetic moment = 0.0 μB per cell
1.0
-1.487 3.822 -2.222
-3.690 -0.676 1.307
0.879 2.553 3.803
Ir Zn Co Ti
1 2 1 1
Direct
0.500 0.500 0.500
0.500 0.000 0.000
0.000 0.000 0.500
0.000 0.500 0.000
0.000 0.000 0.000

---

TlCoIr2 (PBE, optimized geometry); calculated volume = 62.6 Å³ per cell; SG = P4/mmm, No. 123; E_form = 0.42 eV/atom; energy relative to the lowest polymorph listed for this composition = 6 meV per atom; total magnetic moment = 2.5 μB per cell
1.0
2.903 0.000 0.000
0.000 2.903 0.000
0.000 0.000 7.428
Ir Co Tl
2 1 1
Direct
0.000 0.000 0.962
0.000 0.000 0.538
0.500 0.500 0.750
0.500 0.500 0.250

---

TlCoIr2 (PBE, optimized geometry); calculated volume = 62.5 Å³ per cell; SG = P4/mmm, No. 123; E_form = 0.55 eV/atom; energy relative to the lowest polymorph listed for this composition = 136 meV per atom; total magnetic moment = 2.1 μB per cell
1.0
-0.898 -0.583 -3.790
3.871 -0.372 -0.860
-0.231 -3.922 0.658
Ir Tl Co
2 1 1
Direct
0.000 0.500 0.500
0.000 0.000 0.000
0.500 0.500 0.000
0.500 0.000 0.500

---

TlCoIr2 (PBE, optimized geometry); calculated volume = 141.2 Å³ per cell; SG = I-42d, No. 122; E_form = 0.76 eV/atom; energy relative to the lowest polymorph listed for this composition = 344 meV per atom; total magnetic moment = 3.3 μB per cell
1.0
-2.697 -0.742 2.821
2.006 -3.262 1.060
4.423 2.825 7.770
Tl Ir Co
2 4 2
Direct
0.000 0.000 0.000
0.750 0.250 0.500
0.185 0.625 0.250
0.565 0.125 0.250
0.375 0.435 0.750
0.875 0.815 0.750
0.250 0.750 0.500
0.500 0.500 0.000

---

TlCoIr2 (PBE, optimized geometry); calculated volume = 63.5 Å³ per cell; SG = F-43m, No. 216; E_form = 0.61 eV/atom; energy relative to the lowest polymorph listed for this composition = 192 meV per atom; total magnetic moment = 3.0 μB per cell
1.0
-3.476 -2.820 0.114
0.036 -3.700 -2.521
0.440 -4.018 1.927
Co Tl Ir
1 1 2
Direct
0.500 0.500 0.500
0.750 0.750 0.750
0.250 0.250 0.250
0.000 0.000 0.000